A.
Material: Nb2SeF
Method: DFT, PBE
State: relaxed

The calculation puts the volume at 60.9 Å³/f.u.

Cell and atoms, written as CIF:
```
data_Nb2SeF
_chemical_formula_sum 'Nb8 Se4 F4'
_cell_length_a 6.244
_cell_length_b 6.244
_cell_length_c 6.244
_cell_angle_alpha 90.00
_cell_angle_beta 90.00
_cell_angle_gamma 90.00
_symmetry_space_group_name_H-M 'F m -3 m'
_symmetry_Int_Tables_number 225
_symmetry_space_group_name_Hall '-F 4 2 3'
loop_
_atom_site_label
_atom_site_fract_x
_atom_site_fract_y
_atom_site_fract_z
_atom_site_occupancy
Nb1 0.250 0.250 0.250 1
Se1 0.000 0.000 0.000 1
F1 0.000 0.000 0.500 1
```

B.
Material: Nb2SeF
Method: DFT, PBE
State: relaxed

The calculation puts the volume at 71.2 Å³/f.u.

Cell and atoms, written as CIF:
```
data_Nb2SeF
_chemical_formula_sum 'Nb8 Se4 F4'
_cell_length_a 4.272
_cell_length_b 4.272
_cell_length_c 15.592
_cell_angle_alpha 90.00
_cell_angle_beta 90.00
_cell_angle_gamma 90.00
_symmetry_space_group_name_H-M 'I -4 2 d'
_symmetry_Int_Tables_number 122
_symmetry_space_group_name_Hall 'I -4 2bw'
loop_
_atom_site_label
_atom_site_fract_x
_atom_site_fract_y
_atom_site_fract_z
_atom_site_occupancy
Nb1 0.202 0.250 0.125 1
Se1 0.000 0.000 0.500 1
F1 0.000 0.000 0.000 1
```

Stability verdict: A, ahead by 1.2 kJ/mol of atoms